FePHO2 after structural relaxation, computed with PBE+U.

a = 3.5727 Å, b = 3.5727 Å, c = 5.2315 Å
α = 90.00°, β = 90.00°, γ = 90.00°
Last column: nearest neighbours and their distance in Å.
Fractional positions:
Fe: 0.0000 0.0000 0.0000  4 O 1.79
O: 0.0000 0.5000 0.0000  2 Fe 1.79
O: 0.5000 0.0000 0.0000  2 Fe 1.79
H: 0.5000 0.5000 0.5000  4 P 2.53
P: 0.0000 0.0000 0.5000  4 H 2.53, 2 Fe 2.62

Calculated values
**Crystal system**: tetragonal
**Total energy**: -22.4 eV per cell